i:
# BaPt5

A relaxed BaPt5 crystal (GGA-PBE, Alexandria).

```
BaPt5
1.0
0.000 3.877 3.877
3.877 0.000 3.877
3.877 3.877 0.000
Pt Ba
5 1
direct
0.376 0.376 0.872
0.376 0.376 0.376
0.750 0.750 0.750
0.872 0.376 0.376
0.376 0.872 0.376
0.000 0.000 0.000
```

## Properties
Space group: F-43m (216)
Calculated volume, Å³ per atom: 19.43

ii:
# BaPt5

A relaxed BaPt5 crystal (GGA-PBE, Alexandria).

```
BaPt5
1.0
-3.435 1.975 -4.010
1.173 -5.508 0.245
-3.409 -0.610 2.620
Pt Ba
5 1
direct
0.000 0.333 0.500
0.833 0.000 0.000
0.667 0.667 0.500
0.333 0.500 0.000
0.833 0.500 0.000
0.333 0.000 0.500
```

## Properties
Space group: P6/mmm (191)
Calculated volume, Å³ per atom: 19.92

iii:
# BaPt5

A relaxed BaPt5 crystal (GGA-PBE, Alexandria).

```
BaPt5
1.0
-0.651 2.649 -2.005
-3.322 -0.528 0.382
-0.041 6.160 8.152
Pt Ba
5 1
direct
0.000 0.000 0.230
0.000 0.000 0.770
0.000 0.000 0.500
0.500 0.500 0.640
0.500 0.500 0.360
0.500 0.500 0.000
```

## Properties
Space group: P4/mmm (123)
Calculated volume, Å³ per atom: 19.52

Which one sits at the top of the stability order? ii does.